The following is a PBE calculation of a relaxed Ti2HgRh2 crystal, from Alexandria.

Cell and atoms, written as extended XYZ:
```
10
Lattice="7.445 0.000 0.000 0.000 7.445 0.000 0.000 0.000 2.976" Properties=species:S:1:pos:R:3 pbc="T T T"
Ti 1.185 2.537 0.000
Ti 2.537 6.259 0.000
Ti 4.907 1.185 0.000
Ti 6.259 4.907 0.000
Hg 0.000 0.000 1.488
Hg 3.722 3.722 1.488
Rh 1.007 4.729 1.488
Rh 2.716 1.007 1.488
Rh 4.729 6.438 1.488
Rh 6.438 2.716 1.488
```

Polymorph energy (0 for the lowest one) = 0 meV/atom